[1]
Here is a relaxed TmV2Ru crystal from Alexandria via LeMat-Bulk. Energies are from PBE.

Results
The magnetic moment comes out at 0.0051 μB per atom. As for the total energy: -7.814 eV per atom.

Geometry as POSCAR:
```
TmV2Ru
1.0
0.000 3.167 3.167
3.167 0.000 3.167
3.167 3.167 0.000
Tm V Ru
1 2 1
direct
0.000 0.000 0.000
0.250 0.250 0.250
0.750 0.750 0.750
0.500 0.500 0.500
```


[2]
Here is a relaxed GaPdNF2 crystal from Alexandria via LeMat-Bulk. Energies are from PBE.

Results
The magnetic moment comes out at 0.1408 μB per atom. The energy above the most stable polymorph in this dataset comes out at 0.0000 eV per atom.

Geometry as POSCAR:
```
GaPdNF2
1.0
3.841 0.000 0.000
0.000 3.841 0.000
0.000 0.000 4.051
Ga Pd N F
1 1 1 2
direct
0.000 0.000 0.000
0.500 0.500 0.500
0.000 0.000 0.500
0.000 0.500 0.000
0.500 0.000 0.000
```


[3]
Here is a relaxed FeP2PbCl crystal from Alexandria via LeMat-Bulk. Energies are from PBE.

Results
The magnetic moment comes out at 0.4984 μB per atom. The energy above the most stable polymorph in this dataset comes out at 0.0000 eV per atom.

Geometry as POSCAR:
```
FeP2PbCl
1.0
4.362 0.000 0.000
0.000 4.362 0.000
0.000 0.000 5.588
Fe P Pb Cl
1 2 1 1
direct
0.000 0.000 0.000
0.000 0.500 0.000
0.500 0.000 0.000
0.500 0.500 0.500
0.000 0.000 0.500
```


[4]
Here is a relaxed TmInHgBi crystal from Alexandria via LeMat-Bulk. Energies are from PBE.

Results
The magnetic moment comes out at 0.0000 μB per atom. As for the total energy: -3.054 eV per atom.

Geometry as POSCAR:
```
TmInHgBi
1.0
0.000 3.806 3.806
3.806 0.000 3.806
3.806 3.806 0.000
Tm In Hg Bi
1 1 1 1
direct
0.000 0.000 0.000
0.500 0.500 0.500
0.750 0.750 0.750
0.250 0.250 0.250
```